## Cd2Cu7 (PBE)

Data for a relaxed Cd2Cu7 crystal.

```
data_Cd2Cu7
_cell_length_a 2.686
_cell_length_b 2.686
_cell_length_c 25.809
_cell_angle_alpha 90.00
_cell_angle_beta 90.00
_cell_angle_gamma 120.00
_symmetry_space_group_name_H-M 'P 1'
_symmetry_Int_Tables_number 1
loop_
_symmetry_equiv_pos_as_xyz
'x,y,z'
loop_
_atom_site_label
_atom_site_fract_x
_atom_site_fract_y
_atom_site_fract_z
_atom_site_occupancy
Cd1 0.333 0.667 0.326 1
Cd2 0.667 0.333 0.674 1
Cu1 0.000 0.000 0.000 1
Cu2 0.000 0.000 0.230 1
Cu3 0.000 0.000 0.770 1
Cu4 0.333 0.667 0.077 1
Cu5 0.333 0.667 0.847 1
Cu6 0.667 0.333 0.153 1
Cu7 0.667 0.333 0.923 1
```

***

## CdCu15 (PBE)

Data for a relaxed CdCu15 crystal.

```
data_CdCu15
_cell_length_a 7.082
_cell_length_b 2.590
_cell_length_c 33.764
_cell_angle_alpha 90.00
_cell_angle_beta 90.01
_cell_angle_gamma 90.00
_symmetry_space_group_name_H-M 'P 1'
_symmetry_Int_Tables_number 1
loop_
_symmetry_equiv_pos_as_xyz
'x,y,z'
loop_
_atom_site_label
_atom_site_fract_x
_atom_site_fract_y
_atom_site_fract_z
_atom_site_occupancy
Cd1 0.124 0.250 0.301 1
Cd2 0.876 0.750 0.699 1
Cu1 0.123 0.250 0.752 1
Cu2 0.125 0.250 0.057 1
Cu3 0.125 0.250 0.133 1
Cu4 0.125 0.250 0.209 1
Cu5 0.125 0.250 0.828 1
Cu6 0.125 0.250 0.905 1
Cu7 0.125 0.250 0.981 1
Cu8 0.373 0.750 0.248 1
Cu9 0.375 0.750 0.019 1
Cu10 0.375 0.750 0.095 1
Cu11 0.375 0.750 0.172 1
Cu12 0.375 0.750 0.717 1
Cu13 0.375 0.750 0.791 1
Cu14 0.375 0.750 0.867 1
Cu15 0.375 0.750 0.943 1
Cu16 0.625 0.250 0.057 1
Cu17 0.625 0.250 0.133 1
Cu18 0.625 0.250 0.209 1
Cu19 0.625 0.250 0.283 1
Cu20 0.625 0.250 0.828 1
Cu21 0.625 0.250 0.905 1
Cu22 0.625 0.250 0.981 1
Cu23 0.627 0.250 0.752 1
Cu24 0.875 0.750 0.019 1
Cu25 0.875 0.750 0.095 1
Cu26 0.875 0.750 0.172 1
Cu27 0.875 0.750 0.791 1
Cu28 0.875 0.750 0.867 1
Cu29 0.875 0.750 0.943 1
Cu30 0.877 0.750 0.248 1
```

***

## CdCu15 (PBE)

Data for a relaxed CdCu15 crystal.

```
data_CdCu15
_cell_length_a 5.136
_cell_length_b 3.574
_cell_length_c 34.077
_cell_angle_alpha 90.00
_cell_angle_beta 90.01
_cell_angle_gamma 90.00
_symmetry_space_group_name_H-M 'P 1'
_symmetry_Int_Tables_number 1
loop_
_symmetry_equiv_pos_as_xyz
'x,y,z'
loop_
_atom_site_label
_atom_site_fract_x
_atom_site_fract_y
_atom_site_fract_z
_atom_site_occupancy
Cd1 0.125 0.250 0.293 1
Cd2 0.875 0.750 0.707 1
Cu1 0.125 0.250 0.056 1
Cu2 0.125 0.250 0.130 1
Cu3 0.125 0.250 0.205 1
Cu4 0.125 0.250 0.832 1
Cu5 0.125 0.250 0.907 1
Cu6 0.125 0.250 0.981 1
Cu7 0.126 0.250 0.756 1
Cu8 0.375 0.750 0.019 1
Cu9 0.375 0.750 0.093 1
Cu10 0.375 0.750 0.168 1
Cu11 0.375 0.750 0.722 1
Cu12 0.375 0.750 0.795 1
Cu13 0.375 0.750 0.869 1
Cu14 0.375 0.750 0.944 1
Cu15 0.376 0.750 0.244 1
Cu16 0.624 0.250 0.756 1
Cu17 0.625 0.250 0.056 1
Cu18 0.625 0.250 0.131 1
Cu19 0.625 0.250 0.205 1
Cu20 0.625 0.250 0.278 1
Cu21 0.625 0.250 0.832 1
Cu22 0.625 0.250 0.907 1
Cu23 0.625 0.250 0.981 1
Cu24 0.874 0.750 0.244 1
Cu25 0.875 0.750 0.019 1
Cu26 0.875 0.750 0.093 1
Cu27 0.875 0.750 0.168 1
Cu28 0.875 0.750 0.795 1
Cu29 0.875 0.750 0.870 1
Cu30 0.875 0.750 0.944 1
```

***

## Cd5Cu2 (PBE)

Data for a relaxed Cd5Cu2 crystal.

```
data_Cd5Cu2
_cell_length_a 8.162
_cell_length_b 8.162
_cell_length_c 8.845
_cell_angle_alpha 90.00
_cell_angle_beta 90.00
_cell_angle_gamma 120.00
_symmetry_space_group_name_H-M 'P 1'
_symmetry_Int_Tables_number 1
loop_
_symmetry_equiv_pos_as_xyz
'x,y,z'
loop_
_atom_site_label
_atom_site_fract_x
_atom_site_fract_y
_atom_site_fract_z
_atom_site_occupancy
Cd1 0.000 0.000 0.000 1
Cd2 0.000 0.000 0.500 1
Cd3 0.074 0.537 0.250 1
Cd4 0.205 0.410 0.539 1
Cd5 0.205 0.410 0.961 1
Cd6 0.205 0.795 0.539 1
Cd7 0.205 0.795 0.961 1
Cd8 0.410 0.205 0.039 1
Cd9 0.410 0.205 0.461 1
Cd10 0.463 0.537 0.250 1
Cd11 0.463 0.926 0.250 1
Cd12 0.537 0.074 0.750 1
Cd13 0.537 0.463 0.750 1
Cd14 0.590 0.795 0.539 1
Cd15 0.590 0.795 0.961 1
Cd16 0.795 0.205 0.039 1
Cd17 0.795 0.205 0.461 1
Cd18 0.795 0.590 0.039 1
Cd19 0.795 0.590 0.461 1
Cd20 0.926 0.463 0.750 1
Cu1 0.110 0.221 0.250 1
Cu2 0.110 0.890 0.250 1
Cu3 0.221 0.110 0.750 1
Cu4 0.333 0.667 0.750 1
Cu5 0.667 0.333 0.250 1
Cu6 0.779 0.890 0.250 1
Cu7 0.890 0.110 0.750 1
Cu8 0.890 0.779 0.750 1
```

***

# DyCdCu | OQMD | PBE | relaxed
# Spin magnetization: 0.004 Bohr magnetons per cell
data_DyCdCu
_cell_length_a 6.899
_cell_length_b 6.899
_cell_length_c 4.598
_cell_angle_alpha 90.00
_cell_angle_beta 90.00
_cell_angle_gamma 120.00
_symmetry_space_group_name_H-M 'P 1'
_symmetry_Int_Tables_number 1
loop_
_symmetry_equiv_pos_as_xyz
'x,y,z'
loop_
_atom_site_label
_atom_site_fract_x
_atom_site_fract_y
_atom_site_fract_z
_atom_site_occupancy
Dy1 0.000 0.561 0.000 1
Dy2 0.439 0.439 0.000 1
Dy3 0.561 0.000 0.000 1
Cd1 0.000 0.000 0.000 1
Cd2 0.333 0.667 0.500 1
Cd3 0.667 0.333 0.500 1
Cu1 0.000 0.224 0.500 1
Cu2 0.224 0.000 0.500 1
Cu3 0.776 0.776 0.500 1

***

# DyCdCu | OQMD | PBE | relaxed
# Spin magnetization: 0.000 Bohr magnetons per cell
data_DyCdCu
_cell_length_a 8.226
_cell_length_b 8.226
_cell_length_c 3.237
_cell_angle_alpha 90.00
_cell_angle_beta 90.00
_cell_angle_gamma 120.00
_symmetry_space_group_name_H-M 'P 1'
_symmetry_Int_Tables_number 1
loop_
_symmetry_equiv_pos_as_xyz
'x,y,z'
loop_
_atom_site_label
_atom_site_fract_x
_atom_site_fract_y
_atom_site_fract_z
_atom_site_occupancy
Dy1 0.000 0.300 0.000 1
Dy2 0.300 0.000 0.000 1
Dy3 0.700 0.700 0.000 1
Cd1 0.000 0.000 0.500 1
Cd2 0.333 0.667 0.000 1
Cd3 0.667 0.333 0.000 1
Cu1 0.000 0.636 0.500 1
Cu2 0.364 0.364 0.500 1
Cu3 0.636 0.000 0.500 1

***

# DyCdCu | OQMD | PBE | relaxed
# Spin magnetization: 0.003 Bohr magnetons per cell
data_DyCdCu
_cell_length_a 7.290
_cell_length_b 7.290
_cell_length_c 4.037
_cell_angle_alpha 90.00
_cell_angle_beta 90.00
_cell_angle_gamma 120.00
_symmetry_space_group_name_H-M 'P 1'
_symmetry_Int_Tables_number 1
loop_
_symmetry_equiv_pos_as_xyz
'x,y,z'
loop_
_atom_site_label
_atom_site_fract_x
_atom_site_fract_y
_atom_site_fract_z
_atom_site_occupancy
Dy1 0.000 0.587 0.000 1
Dy2 0.413 0.413 0.000 1
Dy3 0.587 0.000 0.000 1
Cd1 0.000 0.248 0.500 1
Cd2 0.248 0.000 0.500 1
Cd3 0.752 0.752 0.500 1
Cu1 0.000 0.000 0.000 1
Cu2 0.333 0.667 0.500 1
Cu3 0.667 0.333 0.500 1

***

# Dy3Cd3Ga2Cu | OQMD | PBE | relaxed
# Spin magnetization: 0.001 Bohr magnetons per cell
data_Dy3Cd3Ga2Cu
_cell_length_a 7.270
_cell_length_b 7.270
_cell_length_c 4.287
_cell_angle_alpha 90.00
_cell_angle_beta 90.00
_cell_angle_gamma 120.00
_symmetry_space_group_name_H-M 'P 1'
_symmetry_Int_Tables_number 1
loop_
_symmetry_equiv_pos_as_xyz
'x,y,z'
loop_
_atom_site_label
_atom_site_fract_x
_atom_site_fract_y
_atom_site_fract_z
_atom_site_occupancy
Dy1 0.000 0.412 0.000 1
Dy2 0.412 0.000 0.000 1
Dy3 0.588 0.588 0.000 1
Cd1 0.000 0.756 0.500 1
Cd2 0.244 0.244 0.500 1
Cd3 0.756 0.000 0.500 1
Ga1 0.333 0.667 0.500 1
Ga2 0.667 0.333 0.500 1
Cu1 0.000 0.000 0.000 1

***

# GdDyCd2Cu4 | OQMD | PBE | relaxed
# Spin magnetization: 0.001 Bohr magnetons per cell
data_GdDyCd2Cu4
_cell_length_a 4.697
_cell_length_b 4.697
_cell_length_c 6.645
_cell_angle_alpha 90.00
_cell_angle_beta 90.00
_cell_angle_gamma 90.00
_symmetry_space_group_name_H-M 'P 1'
_symmetry_Int_Tables_number 1
loop_
_symmetry_equiv_pos_as_xyz
'x,y,z'
loop_
_atom_site_label
_atom_site_fract_x
_atom_site_fract_y
_atom_site_fract_z
_atom_site_occupancy
Gd1 0.000 0.000 0.000 1
Dy1 0.500 0.500 0.500 1
Cd1 0.000 0.000 0.500 1
Cd2 0.500 0.500 0.000 1
Cu1 0.000 0.500 0.251 1
Cu2 0.000 0.500 0.749 1
Cu3 0.500 0.000 0.251 1
Cu4 0.500 0.000 0.749 1

***

# DyHoCd2Cu4 | OQMD | PBE | relaxed
# Spin magnetization: 0.019 Bohr magnetons per cell
data_DyHoCd2Cu4
_cell_length_a 4.673
_cell_length_b 4.673
_cell_length_c 6.609
_cell_angle_alpha 90.00
_cell_angle_beta 90.00
_cell_angle_gamma 90.00
_symmetry_space_group_name_H-M 'P 1'
_symmetry_Int_Tables_number 1
loop_
_symmetry_equiv_pos_as_xyz
'x,y,z'
loop_
_atom_site_label
_atom_site_fract_x
_atom_site_fract_y
_atom_site_fract_z
_atom_site_occupancy
Dy1 0.000 0.000 0.000 1
Ho1 0.500 0.500 0.500 1
Cd1 0.000 0.000 0.500 1
Cd2 0.500 0.500 0.000 1
Cu1 0.000 0.500 0.250 1
Cu2 0.000 0.500 0.750 1
Cu3 0.500 0.000 0.250 1
Cu4 0.500 0.000 0.750 1

***

# DyCdCuS3 | OQMD | PBE | relaxed
# Spin magnetization: 0.004 Bohr magnetons per cell
data_DyCdCuS3
_cell_length_a 6.466
_cell_length_b 6.466
_cell_length_c 10.354
_cell_angle_alpha 90.00
_cell_angle_beta 90.00
_cell_angle_gamma 145.89
_symmetry_space_group_name_H-M 'P 1'
_symmetry_Int_Tables_number 1
loop_
_symmetry_equiv_pos_as_xyz
'x,y,z'
loop_
_atom_site_label
_atom_site_fract_x
_atom_site_fract_y
_atom_site_fract_z
_atom_site_occupancy
Dy1 0.000 0.000 0.000 1
Dy2 0.000 0.000 0.500 1
Cd1 0.238 0.762 0.750 1
Cd2 0.762 0.238 0.250 1
Cu1 0.479 0.521 0.250 1
Cu2 0.521 0.479 0.750 1
S1 0.096 0.904 0.250 1
S2 0.358 0.642 0.080 1
S3 0.358 0.642 0.420 1
S4 0.642 0.358 0.580 1
S5 0.642 0.358 0.920 1
S6 0.904 0.096 0.750 1

***

# DyTmCd2Cu4 | OQMD | PBE | relaxed
# Spin magnetization: 0.026 Bohr magnetons per cell
data_DyTmCd2Cu4
_cell_length_a 4.659
_cell_length_b 4.659
_cell_length_c 6.591
_cell_angle_alpha 90.00
_cell_angle_beta 90.00
_cell_angle_gamma 90.00
_symmetry_space_group_name_H-M 'P 1'
_symmetry_Int_Tables_number 1
loop_
_symmetry_equiv_pos_as_xyz
'x,y,z'
loop_
_atom_site_label
_atom_site_fract_x
_atom_site_fract_y
_atom_site_fract_z
_atom_site_occupancy
Dy1 0.000 0.000 0.000 1
Tm1 0.500 0.500 0.500 1
Cd1 0.000 0.000 0.500 1
Cd2 0.500 0.500 0.000 1
Cu1 0.000 0.500 0.254 1
Cu2 0.000 0.500 0.746 1
Cu3 0.500 0.000 0.254 1
Cu4 0.500 0.000 0.746 1

***

# ErCd4Cu | OQMD | PBE | relaxed
# Spin magnetization: 0.011 Bohr magnetons per cell
data_ErCd4Cu
_cell_length_a 5.679
_cell_length_b 5.679
_cell_length_c 5.679
_cell_angle_alpha 60.00
_cell_angle_beta 60.00
_cell_angle_gamma 60.00
_symmetry_space_group_name_H-M 'P 1'
_symmetry_Int_Tables_number 1
loop_
_symmetry_equiv_pos_as_xyz
'x,y,z'
loop_
_atom_site_label
_atom_site_fract_x
_atom_site_fract_y
_atom_site_fract_z
_atom_site_occupancy
Er1 0.000 0.000 0.000 1
Cd1 0.126 0.625 0.625 1
Cd2 0.625 0.126 0.625 1
Cd3 0.625 0.625 0.126 1
Cd4 0.625 0.625 0.625 1
Cu1 0.250 0.250 0.250 1

***

# Er2CdCu2 | OQMD | PBE | relaxed
# Spin magnetization: 0.013 Bohr magnetons per cell
data_Er2CdCu2
_cell_length_a 7.421
_cell_length_b 7.421
_cell_length_c 3.721
_cell_angle_alpha 90.00
_cell_angle_beta 90.00
_cell_angle_gamma 90.00
_symmetry_space_group_name_H-M 'P 1'
_symmetry_Int_Tables_number 1
loop_
_symmetry_equiv_pos_as_xyz
'x,y,z'
loop_
_atom_site_label
_atom_site_fract_x
_atom_site_fract_y
_atom_site_fract_z
_atom_site_occupancy
Er1 0.174 0.326 0.000 1
Er2 0.326 0.826 0.000 1
Er3 0.674 0.174 0.000 1
Er4 0.826 0.674 0.000 1
Cd1 0.000 0.000 0.500 1
Cd2 0.500 0.500 0.500 1
Cu1 0.121 0.621 0.500 1
Cu2 0.379 0.121 0.500 1
Cu3 0.621 0.879 0.500 1
Cu4 0.879 0.379 0.500 1

***

# ErCdCu | OQMD | PBE | relaxed
# Spin magnetization: 0.000 Bohr magnetons per cell
data_ErCdCu
_cell_length_a 4.712
_cell_length_b 4.712
_cell_length_c 4.712
_cell_angle_alpha 60.00
_cell_angle_beta 60.00
_cell_angle_gamma 60.00
_symmetry_space_group_name_H-M 'P 1'
_symmetry_Int_Tables_number 1
loop_
_symmetry_equiv_pos_as_xyz
'x,y,z'
loop_
_atom_site_label
_atom_site_fract_x
_atom_site_fract_y
_atom_site_fract_z
_atom_site_occupancy
Er1 0.000 0.000 0.000 1
Cd1 0.750 0.750 0.750 1
Cu1 0.250 0.250 0.250 1

***

# GdErCd2Cu4 | OQMD | PBE | relaxed
# Spin magnetization: 0.002 Bohr magnetons per cell
data_GdErCd2Cu4
_cell_length_a 4.682
_cell_length_b 4.682
_cell_length_c 6.619
_cell_angle_alpha 90.00
_cell_angle_beta 90.00
_cell_angle_gamma 90.00
_symmetry_space_group_name_H-M 'P 1'
_symmetry_Int_Tables_number 1
loop_
_symmetry_equiv_pos_as_xyz
'x,y,z'
loop_
_atom_site_label
_atom_site_fract_x
_atom_site_fract_y
_atom_site_fract_z
_atom_site_occupancy
Gd1 0.000 0.000 0.000 1
Er1 0.500 0.500 0.500 1
Cd1 0.000 0.000 0.500 1
Cd2 0.500 0.500 0.000 1
Cu1 0.000 0.500 0.256 1
Cu2 0.000 0.500 0.744 1
Cu3 0.500 0.000 0.256 1
Cu4 0.500 0.000 0.744 1

***

# Ho2ErCd3CuIr2 | OQMD | PBE | relaxed
# Spin magnetization: 0.007 Bohr magnetons per cell
data_Ho2ErCd3CuIr2
_cell_length_a 3.780
_cell_length_b 7.518
_cell_length_c 7.518
_cell_angle_alpha 119.93
_cell_angle_beta 90.00
_cell_angle_gamma 90.00
_symmetry_space_group_name_H-M 'P 1'
_symmetry_Int_Tables_number 1
loop_
_symmetry_equiv_pos_as_xyz
'x,y,z'
loop_
_atom_site_label
_atom_site_fract_x
_atom_site_fract_y
_atom_site_fract_z
_atom_site_occupancy
Ho1 0.000 0.208 0.792 1
Ho2 0.000 0.792 0.208 1
Er1 0.000 0.376 0.376 1
Cd1 0.500 0.042 0.042 1
Cd2 0.500 0.543 0.792 1
Cd3 0.500 0.792 0.543 1
Cu1 0.000 0.792 0.792 1
Ir1 0.500 0.126 0.459 1
Ir2 0.500 0.459 0.126 1

***

# Er2TmCd3CuIr2 | OQMD | PBE | relaxed
# Spin magnetization: 0.007 Bohr magnetons per cell
data_Er2TmCd3CuIr2
_cell_length_a 3.763
_cell_length_b 7.505
_cell_length_c 7.505
_cell_angle_alpha 119.93
_cell_angle_beta 90.00
_cell_angle_gamma 90.00
_symmetry_space_group_name_H-M 'P 1'
_symmetry_Int_Tables_number 1
loop_
_symmetry_equiv_pos_as_xyz
'x,y,z'
loop_
_atom_site_label
_atom_site_fract_x
_atom_site_fract_y
_atom_site_fract_z
_atom_site_occupancy
Er1 0.000 0.208 0.792 1
Er2 0.000 0.792 0.208 1
Tm1 0.000 0.624 0.624 1
Cd1 0.500 0.208 0.458 1
Cd2 0.500 0.458 0.208 1
Cd3 0.500 0.958 0.958 1
Cu1 0.000 0.208 0.208 1
Ir1 0.500 0.541 0.874 1
Ir2 0.500 0.874 0.541 1

***

# ErCdCuS3 | OQMD | PBE | relaxed
# Spin magnetization: 0.007 Bohr magnetons per cell
data_ErCdCuS3
_cell_length_a 6.469
_cell_length_b 6.469
_cell_length_c 10.238
_cell_angle_alpha 90.00
_cell_angle_beta 90.00
_cell_angle_gamma 146.12
_symmetry_space_group_name_H-M 'P 1'
_symmetry_Int_Tables_number 1
loop_
_symmetry_equiv_pos_as_xyz
'x,y,z'
loop_
_atom_site_label
_atom_site_fract_x
_atom_site_fract_y
_atom_site_fract_z
_atom_site_occupancy
Er1 0.000 0.000 0.000 1
Er2 0.000 0.000 0.500 1
Cd1 0.238 0.762 0.750 1
Cd2 0.762 0.238 0.250 1
Cu1 0.479 0.521 0.250 1
Cu2 0.521 0.479 0.750 1
S1 0.096 0.904 0.250 1
S2 0.359 0.641 0.077 1
S3 0.359 0.641 0.423 1
S4 0.641 0.359 0.577 1
S5 0.641 0.359 0.923 1
S6 0.904 0.096 0.750 1

***

# ErCdCuS3 | OQMD | PBE | relaxed
# Spin magnetization: 0.002 Bohr magnetons per cell
data_ErCdCuS3
_cell_length_a 7.413
_cell_length_b 3.797
_cell_length_c 8.875
_cell_angle_alpha 90.00
_cell_angle_beta 101.06
_cell_angle_gamma 90.00
_symmetry_space_group_name_H-M 'P 1'
_symmetry_Int_Tables_number 1
loop_
_symmetry_equiv_pos_as_xyz
'x,y,z'
loop_
_atom_site_label
_atom_site_fract_x
_atom_site_fract_y
_atom_site_fract_z
_atom_site_occupancy
Er1 0.184 0.250 0.173 1
Er2 0.816 0.750 0.827 1
Cd1 0.284 0.750 0.723 1
Cd2 0.716 0.250 0.277 1
Cu1 0.408 0.750 0.423 1
Cu2 0.592 0.250 0.577 1
S1 0.088 0.250 0.853 1
S2 0.246 0.250 0.482 1
S3 0.434 0.750 0.165 1
S4 0.566 0.250 0.835 1
S5 0.754 0.750 0.518 1
S6 0.912 0.750 0.147 1

***

Number 1: E -26.5 eV per cell. Number 2: E -110.4 eV per cell. Number 3: E -110.7 eV per cell. Number 4: E -47.3 eV per cell. Number 5: E -28.8 eV per cell. Number 6: E -27.0 eV per cell. Number 7: E -30.4 eV per cell. Number 8: E -30.6 eV per cell. Number 9: E -27.6 eV per cell. Number 10: E -27.5 eV per cell. Number 11: E -55.3 eV per cell. Number 12: E -27.4 eV per cell. Number 13: E -11.5 eV per cell. Number 14: E -38.1 eV per cell. Number 15: E -8.2 eV per cell. Number 16: E -27.5 eV per cell. Number 17: E -42.6 eV per cell. Number 18: E -42.5 eV per cell. Number 19: E -55.2 eV per cell. Number 20: E -55.3 eV per cell.